Below is a relaxed structure of Pr3Al4Cu4, with properties calculated at the PBE level.

**Electronic total energy**: -0.164 Ha/atom
**Formation energy**: -317.4 meV per atom
**N(E_F)**: 0.62 states/eV/atom

abc: 7.672 7.672 7.672
angles: 90.00 90.00 90.00
Space group I-43m (No. 217)
Asymmetric unit:
Pr  0.000  0.000  0.500 x6
Al  0.134  0.134  0.134 x8
Cu  0.186  0.186  0.814 x8



Below is a relaxed structure of PrAl7Cu5, with properties calculated at the PBE level.

**Electronic total energy**: -0.158 Ha/atom
**Formation energy**: -340.2 meV per atom
**N(E_F)**: 0.21 states/eV/atom

abc: 5.132 8.882 8.753
angles: 90.00 90.00 90.00
Space group Imm2 (No. 44)
Asymmetric unit:
Pr  0.000  0.000  0.000 x2
Al  0.000  0.000  0.352 x2
Al  0.000  0.000  0.653 x2
Al  0.000  0.287  0.493 x4
Al  0.000  0.350  0.008 x4
Al  0.000  0.500  0.728 x2
Cu  0.000  0.500  0.271 x2
Cu  0.249  0.253  0.748 x8



Below is a relaxed structure of PrAlCu4, with properties calculated at the PBE level.

**Electronic total energy**: -0.155 Ha/atom
**Formation energy**: -70.0 meV per atom
**N(E_F)**: 0.46 states/eV/atom

abc: 4.373 14.392 6.500
angles: 90.00 90.00 90.00
Space group Cmcm (No. 63)
Asymmetric unit:
Pr  0.000  0.113  0.250 x4
Al  0.000  0.347  0.250 x4
Cu  0.000  0.081  0.750 x4
Cu  0.000  0.250  0.574 x8
Cu  0.000  0.500  0.000 x4



Below is a relaxed structure of PrAl2Cu9, with properties calculated at the PBE level.

**Electronic total energy**: -0.156 Ha/atom
**Formation energy**: -146.5 meV per atom
**N(E_F)**: 0.37 states/eV/atom

abc: 4.9892 4.9892 24.0490
angles: 90.00 90.00 120.00
Space group R-3m (No. 166, hexagonal axes)
Asymmetric unit:
Pr  0.0000  0.0000  0.0000 x3
Al  0.0000  0.0000  0.1452 x6
Cu  0.0000  0.0000  0.3341 x6
Cu  0.0000  0.0000  0.5000 x3
Cu  0.0067  0.5034  0.9123 x18



Below is a relaxed structure of PrAl4Cu2, with properties calculated at the PBE level.

**Electronic total energy**: -0.161 Ha/atom
**Formation energy**: -390.8 meV per atom
**N(E_F)**: 0.32 states/eV/atom

abc: 17.041 4.125 7.060
angles: 90.00 90.00 90.00
Space group Pnma (No. 62)
Asymmetric unit:
Pr  0.116  0.250  0.008 x4
Al  0.037  0.750  0.726 x4
Al  0.095  0.250  0.503 x4
Al  0.190  0.750  0.330 x4
Al  0.198  0.750  0.711 x4
Cu  0.040  0.750  0.323 x4
Cu  0.238  0.250  0.526 x4



Below is a relaxed structure of PrAl4Cu4, with properties calculated at the PBE level.

**Electronic total energy**: -0.159 Ha/atom
**Formation energy**: -310.9 meV per atom
**N(E_F)**: 0.37 states/eV/atom

abc: 5.950 5.950 8.437
angles: 90.00 90.00 90.00
Space group P4_2/nmc (No. 137, origin choice 2)
Asymmetric unit:
Pr  0.250  0.750  0.250 x2
Al  0.015  0.250  0.143 x8
Cu  0.046  0.250  0.438 x8



Below is a relaxed structure of Pr3AlCu4, with properties calculated at the PBE level.

**Electronic total energy**: -0.161 Ha/atom
**Formation energy**: -67.5 meV per atom
**N(E_F)**: 0.88 states/eV/atom

abc: 4.201 6.305 14.174
angles: 90.00 90.00 90.00
Space group Immm (No. 71)
Asymmetric unit:
Pr  0.000  0.000  0.000 x2
Pr  0.000  0.500  0.188 x4
Al  0.000  0.000  0.500 x2
Cu  0.000  0.303  0.381 x8



Below is a relaxed structure of Pr2Al3Cu4, with properties calculated at the PBE level.

**Electronic total energy**: -0.162 Ha/atom
**Formation energy**: -284.2 meV per atom
**N(E_F)**: 0.54 states/eV/atom

abc: 6.015 15.627 7.022
angles: 90.00 90.00 90.00
Space group Cmce (No. 64)
Asymmetric unit:
Pr  0.000  0.108  0.087 x8
Al  0.000  0.000  0.500 x4
Al  0.250  0.235  0.750 x8
Cu  0.000  0.168  0.502 x8
Cu  0.250  0.067  0.750 x8



Below is a relaxed structure of Pr2AlCu, with properties calculated at the PBE level.

**Electronic total energy**: -0.147 Ha/atom
**Formation energy**: 346.1 meV per atom
**N(E_F)**: 0.90 states/eV/atom

abc: 3.4302 3.4302 32.7251
angles: 90.00 90.00 120.00
Space group R-3m (No. 166, hexagonal axes)
Asymmetric unit:
Pr  0.0000  0.0000  0.0979 x6
Al  0.0000  0.0000  0.0000 x3
Cu  0.0000  0.0000  0.5000 x3



Below is a relaxed structure of Pr4AlCu2, with properties calculated at the PBE level.

**Electronic total energy**: -0.166 Ha/atom
**Formation energy**: -70.3 meV per atom
**N(E_F)**: 1.07 states/eV/atom

abc: 5.1390 5.1390 25.6033
angles: 90.00 90.00 120.00
Space group R-3m (No. 166, hexagonal axes)
Asymmetric unit:
Pr  0.0000  0.0000  0.1216 x6
Pr  0.0000  0.0000  0.2898 x6
Al  0.0000  0.0000  0.5000 x3
Cu  0.0000  0.0000  0.4047 x6



Below is a relaxed structure of Pr2AlCu7, with properties calculated at the PBE level.

**Electronic total energy**: -0.161 Ha/atom
**Formation energy**: -171.1 meV per atom
**N(E_F)**: 0.39 states/eV/atom

abc: 4.061 4.061 10.543
angles: 90.00 90.00 90.00
Space group P-4m2 (No. 115)
Asymmetric unit:
Pr  0.000  0.500  0.242 x2
Al  0.000  0.000  0.500 x1
Cu  0.000  0.000  0.000 x1
Cu  0.000  0.500  0.638 x2
Cu  0.000  0.500  0.869 x2
Cu  0.500  0.500  0.000 x1
Cu  0.500  0.500  0.500 x1



Below is a relaxed structure of Pr6AlCu2, with properties calculated at the PBE level.

**Electronic total energy**: -0.170 Ha/atom
**Formation energy**: -122.8 meV per atom
**N(E_F)**: 1.16 states/eV/atom

abc: 9.738 10.299 10.391
angles: 90.00 90.00 90.00
Space group Immm (No. 71)
Asymmetric unit:
Pr  0.000  0.196  0.241 x8
Pr  0.205  0.500  0.177 x8
Pr  0.226  0.318  0.500 x8
Al  0.000  0.000  0.000 x2
Al  0.000  0.000  0.500 x2
Cu  0.000  0.358  0.000 x4
Cu  0.000  0.500  0.382 x4